No. 1
Be2Si, optimized geometry, DFT PBE-GGA; excess energy over the best structure of this formula in the dataset = 31.3 kJ per mole of atoms; spin magnetization = 0.0 μB/cell; symmetry = P-3m1, No. 164; energy relative to the elements, uncorrected = 44 kJ per mole of atoms
1.0
3.8436 0.0000 0.0000
-1.9218 3.3287 0.0000
0.0000 0.0000 2.8152
Be Si
2 1
direct
0.0000 0.0000 0.2316
0.3333 0.6667 0.4351
0.6667 0.3333 0.3333

---

No. 2
Ca5TeSe4, optimized geometry, DFT PBE-GGA; spin magnetization = 0.0 μB/cell; symmetry = I4/m, No. 87; energy relative to the elements, uncorrected = -187 kJ per mole of atoms
1.0
5.4668 0.0000 2.6368
2.7334 6.7635 1.3184
-0.2049 0.0000 7.4103
Ca Te Se
5 1 4
direct
0.8959 0.4154 0.7947
0.3113 0.7947 0.5846
0.6906 0.2053 0.4154
0.1060 0.5846 0.2053
0.5012 0.0000 0.0000
0.0012 0.0000 0.0000
0.3985 0.4035 0.8014
0.8020 0.8014 0.5965
0.2000 0.1986 0.4035
0.6035 0.5965 0.1986

---

No. 3
Ce2Pr3Tl6, optimized geometry, DFT PBE-GGA; spin magnetization = 1.2 μB/cell; ΔH_f (0 K) = -0.113 eV per atom; symmetry = I4/mmm, No. 139
1.0
4.8326 0.0000 0.0000
0.0000 4.8326 0.0000
-2.4163 -2.4163 14.6373
Ce Pr Tl
2 3 6
direct
0.4560 0.4560 0.9120
0.5440 0.5440 0.0880
0.0000 0.0000 0.0000
0.8002 0.8002 0.6005
0.1998 0.1998 0.3995
0.1144 0.6144 0.2288
0.6144 0.1144 0.2288
0.8856 0.3856 0.7712
0.3856 0.8856 0.7712
0.6912 0.6912 0.3824
0.3088 0.3088 0.6176

---

No. 4
Ce2SmTmSb4, optimized geometry, DFT PBE-GGA; spin magnetization = 1.6 μB/cell; symmetry = P2/m, No. 10; energy relative to the elements, uncorrected = -104 kJ per mole of atoms
1.0
4.4514 0.0000 0.0000
0.0000 7.7071 -0.1499
0.0000 2.7145 7.2198
Ce Sm Tm Sb
2 1 1 4
direct
0.0000 0.0000 0.0000
0.5000 0.0000 0.5000
0.5000 0.5000 0.0000
0.0000 0.5000 0.5000
0.0000 0.7466 0.7468
0.0000 0.2534 0.2532
0.5000 0.7434 0.2565
0.5000 0.2566 0.7435